# CaSmInHg (PBE, optimized geometry)
# energy relative to the elements	-199	kJ/mol of formula units
# DOS(E_F)	0.425	states/eV per atom
# total magnetization	0.00	μB/cell
# crystal system	cubic
data_CaSmInHg
_symmetry_space_group_name_H-M 'P 1'
_symmetry_Int_Tables_number 1
_symmetry_space_group_name_Hall 'P 1'
_cell_length_a 5.4012
_cell_length_b 5.4012
_cell_length_c 5.4012
_cell_angle_alpha 60.00
_cell_angle_beta 60.00
_cell_angle_gamma 60.00
loop_
_atom_site_label
_atom_site_type_symbol
_atom_site_fract_x
_atom_site_fract_y
_atom_site_fract_z
In1 In 0.2500 0.2500 0.2500
Sm1 Sm 0.0000 0.0000 0.0000
Hg1 Hg 0.7500 0.7500 0.7500
Ca1 Ca 0.5000 0.5000 0.5000